Below is a relaxed structure of CoGeB4, with properties calculated at the GGA-PBE level.

Cell: 4.4971 4.4971 4.4971 Å, 141.08 107.74 85.25°
Closest atoms and distances in Å follow each position.
Sites, in units of the cell vectors:
B1 0.5915 0.2559 0.3356  3 B 1.74-1.75
B2 0.0797 0.7441 0.3356  3 B 1.74-1.75
B3 0.9203 0.2559 0.6644  3 B 1.74-1.75
B4 0.4085 0.7441 0.6644  3 B 1.74-1.75
Co1 0.0000 0.0000 0.0000  12 B 2.37-2.46
Ge1 0.5000 0.5000 0.0000  12 B 2.40-2.42

- Space-group type: Immm
- DFT total energy: -0.2212 hartree per atom